Density functional theory data (PBE-GGA) for crystalline TcRuRh3 at its relaxed geometry.

a b c (Å): 6.4254 6.4254 6.4254
angles (deg): 139.40 81.97 112.36
Element x y z (fractional)
Tc  0.0000  0.0000  0.0000
Tc  0.5000  0.0000  0.5000
Ru  0.4339  0.6839  0.7500
Ru  0.5661  0.3161  0.2500
Rh  0.0534  0.6413  0.4121
Rh  0.1908  0.9408  0.2500
Rh  0.2708  0.3587  0.9121
Rh  0.7292  0.6413  0.0879
Rh  0.8092  0.0592  0.7500
Rh  0.9466  0.3587  0.5879

Energy relative to the lowest polymorph listed for this composition = 0.0000 eV per atom
VASP energy = -7.858 eV per atom
ΔH_f (0 K) = 2.41 eV/f.u.
DOS at the Fermi energy = 1.570 states/eV/atom
Crystal system = orthorhombic

---

Density functional theory data (PBE-GGA) for crystalline La6Os2Br3F at its relaxed geometry.

a b c (Å): 7.1739 7.1739 8.2774
angles (deg): 98.28 98.28 120.08
Element x y z (fractional)
La  0.0915  0.4342  0.8035
La  0.2228  0.2228  0.1954
La  0.4342  0.0915  0.8035
La  0.5658  0.9085  0.1965
La  0.7772  0.7772  0.8046
La  0.9085  0.5658  0.1965
Os  0.1665  0.8335  0.0000
Os  0.8335  0.1665  0.0000
Br  0.0000  0.0000  0.5000
Br  0.3297  0.6703  0.5000
Br  0.6703  0.3297  0.5000
F  0.5000  0.5000  0.0000

Formation energy from raw total energies = -1.246 eV/atom
VASP energy = -6.155 eV per atom
DOS at the Fermi energy = 0.313 states/eV/atom
Crystal system = monoclinic

---

Density functional theory data (PBE-GGA) for crystalline Sm5Ho6Er2 at its relaxed geometry.

a b c (Å): 11.5930 20.4037 3.5718
angles (deg): 90.00 90.00 90.00
Element x y z (fractional)
Sm  0.0000  0.0000  0.0000
Sm  0.0857  0.2723  0.0000
Sm  0.1982  0.5504  0.0000
Sm  0.3018  0.0504  0.0000
Sm  0.4143  0.7723  0.0000
Sm  0.5000  0.5000  0.0000
Sm  0.5857  0.2277  0.0000
Sm  0.6982  0.9496  0.0000
Sm  0.8018  0.4496  0.0000
Sm  0.9143  0.7277  0.0000
Ho  0.0608  0.4183  0.5000
Ho  0.0820  0.1311  0.5000
Ho  0.1736  0.8615  0.0000
Ho  0.3264  0.3615  0.0000
Ho  0.4180  0.6311  0.5000
Ho  0.4392  0.9183  0.5000
Ho  0.5608  0.0817  0.5000
Ho  0.5820  0.3689  0.5000
Ho  0.6736  0.6385  0.0000
Ho  0.8264  0.1385  0.0000
Ho  0.9180  0.8689  0.5000
Ho  0.9392  0.5817  0.5000
Er  0.1697  0.7096  0.5000
Er  0.3303  0.2096  0.5000
Er  0.6697  0.7904  0.5000
Er  0.8303  0.2904  0.5000

VASP energy = -4.534 eV per atom
ΔH_f (0 K) = 1.25 eV/f.u.
DOS at the Fermi energy = 1.190 states/eV/atom
Crystal system = orthorhombic

---

Density functional theory data (PBE-GGA) for crystalline Pm3HfTl4Se8 at its relaxed geometry.

a b c (Å): 9.1902 9.1902 9.1902
angles (deg): 54.08 54.08 54.08
Element x y z (fractional)
Pm  0.0000  0.5000  0.5000
Pm  0.5000  0.0000  0.5000
Pm  0.5000  0.5000  0.0000
Hf  0.0000  0.0000  0.0000
Tl  0.0000  0.0000  0.5000
Tl  0.0000  0.5000  0.0000
Tl  0.5000  0.0000  0.0000
Tl  0.5000  0.5000  0.5000
Se  0.2222  0.2222  0.7593
Se  0.2222  0.7593  0.2222
Se  0.2407  0.7778  0.7778
Se  0.2617  0.2617  0.2617
Se  0.7383  0.7383  0.7383
Se  0.7593  0.2222  0.2222
Se  0.7778  0.2407  0.7778
Se  0.7778  0.7778  0.2407

Formation energy from raw total energies = -1.244 eV/atom
VASP energy = -5.091 eV per atom
DOS at the Fermi energy = 0.277 states/eV/atom
Crystal system = trigonal

---

Density functional theory data (PBE-GGA) for crystalline TbDyCuAg at its relaxed geometry.

a b c (Å): 7.1419 7.1419 7.1419
angles (deg): 90.00 90.00 90.00
Element x y z (fractional)
Tb  0.0000  0.0000  0.0000
Tb  0.0000  0.5000  0.5000
Tb  0.5000  0.0000  0.5000
Tb  0.5000  0.5000  0.0000
Dy  0.0000  0.0000  0.5000
Dy  0.0000  0.5000  0.0000
Dy  0.5000  0.0000  0.0000
Dy  0.5000  0.5000  0.5000
Cu  0.2500  0.2500  0.2500
Cu  0.2500  0.7500  0.7500
Cu  0.7500  0.2500  0.7500
Cu  0.7500  0.7500  0.2500
Ag  0.2500  0.2500  0.7500
Ag  0.2500  0.7500  0.2500
Ag  0.7500  0.2500  0.2500
Ag  0.7500  0.7500  0.7500

Energy relative to the lowest polymorph listed for this composition = 0.0193 eV per atom
VASP energy = -4.306 eV per atom
ΔH_f (0 K) = -1.04 eV/f.u.
DOS at the Fermi energy = 0.591 states/eV/atom
Crystal system = cubic

---

Density functional theory data (PBE-GGA) for crystalline TaZn2 at its relaxed geometry.

a b c (Å): 2.8485 2.8485 6.9506
angles (deg): 90.00 90.00 120.00
Element x y z (fractional)
Ta  0.0000  0.0000  0.0000
Zn  0.3333  0.6667  0.3409
Zn  0.6667  0.3333  0.6591

VASP energy = -4.682 eV per atom
ΔH_f (0 K) = 0.35 eV/f.u.
DOS at the Fermi energy = 0.583 states/eV/atom
Crystal system = trigonal

---

Density functional theory data (PBE-GGA) for crystalline Zn3HOs at its relaxed geometry.

a b c (Å): 4.8720 4.8720 4.8720
angles (deg): 90.00 90.00 90.00
Element x y z (fractional)
Zn  0.0000  0.0000  0.5000
Zn  0.0000  0.5000  0.0000
Zn  0.5000  0.0000  0.0000
H  0.5000  0.5000  0.5000
Os  0.0000  0.0000  0.0000

Energy relative to the lowest polymorph listed for this composition = 0.7823 eV per atom
VASP energy = -2.557 eV per atom
DOS at the Fermi energy = 0.626 states/eV/atom
Crystal system = cubic

---

Density functional theory data (PBE-GGA) for crystalline AcPm2Sm3 at its relaxed geometry.

a b c (Å): 3.5443 6.2562 19.8090
angles (deg): 90.00 90.00 90.00
Element x y z (fractional)
Ac  0.0000  0.0000  0.0000
Ac  0.5000  0.5000  0.5000
Pm  0.0000  0.0000  0.3597
Pm  0.0000  0.0000  0.6403
Pm  0.5000  0.5000  0.1403
Pm  0.5000  0.5000  0.8597
Sm  0.0000  0.0000  0.1915
Sm  0.0000  0.0000  0.8085
Sm  0.0000  0.5000  0.0000
Sm  0.5000  0.0000  0.5000
Sm  0.5000  0.5000  0.3085
Sm  0.5000  0.5000  0.6915

Energy relative to the lowest polymorph listed for this composition = 0.3259 eV per atom
VASP energy = -4.272 eV per atom
ΔH_f (0 K) = 2.14 eV/f.u.
DOS at the Fermi energy = 1.851 states/eV/atom
Crystal system = orthorhombic